[1]
NpFeIr PBE-GGA optimized geometry; raw total energy = -9.7617 eV per atom; crystal system = cubic; energy relative to the elements = 0.2162 eV per atom
1.0
0.0000 2.9536 2.9536
2.9536 0.0000 2.9536
2.9536 2.9536 0.0000
Fe Ir Np
1 1 1
direct
0.0000 0.0000 0.0000 Fe
0.7500 0.7500 0.7500 Ir
0.2500 0.2500 0.2500 Np

=====

[2]
GdMgW3 PBE-GGA optimized geometry; raw total energy = -8.3373 eV per atom; crystal system = trigonal
1.0
5.2955 0.0000 0.0000
-2.6477 4.5860 0.0000
0.0000 0.0000 8.4469
Gd Mg W
2 2 6
direct
0.6667 0.3333 0.5000 Gd
0.3333 0.6667 0.5000 Gd
0.0000 0.0000 0.3332 Mg
0.0000 0.0000 0.6668 Mg
0.5583 0.0000 0.1439 W
0.4417 0.4417 0.1439 W
0.0000 0.5583 0.1439 W
0.4417 0.0000 0.8561 W
0.0000 0.4417 0.8561 W
0.5583 0.5583 0.8561 W

=====

[3]
Lu4In3W2C3 PBE-GGA optimized geometry; raw total energy = -7.0424 eV per atom; crystal system = monoclinic
1.0
5.0361 -2.9371 0.0000
5.0361 2.9371 0.0000
-3.4770 0.0000 14.7039
C In Lu W
6 6 8 4
direct
0.6539 0.1924 0.0000 C
0.0000 0.5000 0.0000 C
0.3461 0.8076 0.0000 C
0.1924 0.6539 0.5000 C
0.5000 0.0000 0.5000 C
0.8076 0.3461 0.5000 C
0.7130 0.5802 0.2469 In
0.1288 0.8712 0.2500 In
0.4198 0.2870 0.2531 In
0.5802 0.7130 0.7469 In
0.8712 0.1288 0.7500 In
0.2870 0.4198 0.7531 In
0.0434 0.1850 0.0901 Lu
0.6970 0.8763 0.0903 Lu
0.1237 0.3030 0.4096 Lu
0.8150 0.9566 0.4099 Lu
0.1850 0.0434 0.5901 Lu
0.8763 0.6970 0.5903 Lu
0.3030 0.1237 0.9096 Lu
0.9566 0.8150 0.9099 Lu
0.3460 0.5226 0.0677 W
0.4774 0.6540 0.4323 W
0.5226 0.3460 0.5677 W
0.6540 0.4774 0.9323 W

=====

[4]
NbCdNO PBE-GGA optimized geometry; raw total energy = -6.2470 eV per atom; crystal system = tetragonal
1.0
3.4344 0.0000 0.0000
0.0000 3.4344 0.0000
0.0000 0.0000 8.4526
Cd N Nb O
2 2 2 2
direct
0.0000 0.0000 0.5000 Cd
0.5000 0.5000 0.5000 Cd
0.5000 0.0000 0.2422 N
0.0000 0.5000 0.7578 N
0.0000 0.5000 0.1545 Nb
0.5000 0.0000 0.8455 Nb
0.0000 0.0000 0.0000 O
0.5000 0.5000 0.0000 O

=====

[5]
GeIrO4 PBE-GGA optimized geometry; raw total energy = -6.6513 eV per atom; crystal system = orthorhombic
1.0
-4.3877 -0.7332 0.4871
0.0823 -2.7150 -3.5565
0.6032 -2.3890 1.8378
Ge Ir O
1 1 4
direct
0.0000 0.0000 0.0000 Ge
0.5000 0.5000 0.5000 Ir
0.2998 0.2998 0.0000 O
0.7002 0.7002 0.0000 O
0.8129 0.1871 0.5000 O
0.1871 0.8129 0.5000 O

=====

[6]
Dy2Sc2CI3Cl2 PBE-GGA optimized geometry; raw total energy = -5.2130 eV per atom; crystal system = monoclinic
1.0
-8.8212 3.7100 -2.4456
-9.8158 0.3016 -1.0570
0.9094 2.7917 7.5036
C Cl Dy I Sc
1 2 2 3 2
direct
0.5000 0.5000 0.0000 C
0.8600 0.8600 0.1790 Cl
0.1400 0.1400 0.8210 Cl
0.6225 0.6225 0.0472 Dy
0.3775 0.3775 0.9528 Dy
0.1598 0.1598 0.3410 I
0.5000 0.5000 0.5000 I
0.8402 0.8402 0.6590 I
0.0016 0.0016 0.1849 Sc
0.9984 0.9984 0.8151 Sc

=====

[7]
LiZrTlPt PBE-GGA optimized geometry; raw total energy = -5.2818 eV per atom; crystal system = cubic
1.0
-3.3609 0.7497 3.1413
-4.3904 0.6918 -1.4043
-3.2363 -3.2638 0.7744
Li Pt Tl Zr
1 1 1 1
direct
0.7500 0.7500 0.7500 Li
0.2500 0.2500 0.2500 Pt
0.5000 0.5000 0.5000 Tl
0.0000 0.0000 0.0000 Zr

=====

[8]
K2NiSnCl6 PBE-GGA optimized geometry; raw total energy = -3.5153 eV per atom; crystal system = cubic
1.0
5.1270 -5.0513 0.5837
-1.1159 -5.8166 4.1308
-0.9441 -6.4729 -3.0582
Cl K Ni Sn
6 2 1 1
direct
0.7650 0.2350 0.2350 Cl
0.2350 0.7650 0.2350 Cl
0.7650 0.7650 0.2350 Cl
0.2350 0.7650 0.7650 Cl
0.7650 0.2350 0.7650 Cl
0.2350 0.2350 0.7650 Cl
0.2500 0.2500 0.2500 K
0.7500 0.7500 0.7500 K
0.0000 0.0000 0.0000 Ni
0.5000 0.5000 0.5000 Sn

=====

[9]
Cu2SeF3 PBE-GGA optimized geometry; raw total energy = -3.7279 eV per atom; crystal system = monoclinic
1.0
-4.5705 1.8324 -0.2325
-0.7340 -1.4918 2.6725
1.8127 3.8072 2.6230
Cu F Se
2 3 1
direct
0.9769 0.0000 0.0223 Cu
0.5294 0.5000 0.4699 Cu
0.1916 0.5000 0.1996 F
0.7038 0.0000 0.2935 F
0.8038 0.5000 0.8044 F
0.2945 0.0000 0.7102 Se

=====

[10]
GaAsIrO PBE-GGA optimized geometry; raw total energy = -5.0619 eV per atom; crystal system = tetragonal
1.0
4.2112 0.0000 0.0000
0.0000 4.2112 0.0000
0.0000 0.0000 7.1917
As Ga Ir O
2 2 2 2
direct
0.7500 0.7500 0.2910 As
0.2500 0.2500 0.7090 As
0.7500 0.2500 0.5000 Ga
0.2500 0.7500 0.5000 Ga
0.2500 0.2500 0.0588 Ir
0.7500 0.7500 0.9412 Ir
0.7500 0.2500 0.0000 O
0.2500 0.7500 0.0000 O

=====

[11]
ReSiSn PBE-GGA optimized geometry; raw total energy = -6.7533 eV per atom; crystal system = cubic
1.0
0.0000 3.0759 3.0759
3.0759 0.0000 3.0759
3.0759 3.0759 0.0000
Re Si Sn
1 1 1
direct
0.0000 0.0000 0.0000 Re
0.2500 0.2500 0.2500 Si
0.7500 0.7500 0.7500 Sn

=====

[12]
Nd2Ga3Hg3 PBE-GGA optimized geometry; raw total energy = -2.8627 eV per atom; crystal system = monoclinic
1.0
6.5726 0.0000 0.0000
0.0000 4.8115 0.0000
-3.1914 0.0000 5.8637
Ga Hg Nd
3 3 2
direct
0.3045 0.0000 0.1543 Ga
0.1631 0.5000 0.3117 Ga
0.8504 0.0000 0.6934 Ga
0.8516 0.0000 0.1636 Hg
0.6784 0.5000 0.8353 Hg
0.1620 0.5000 0.8473 Hg
0.6617 0.5000 0.3382 Nd
0.3283 0.0000 0.6561 Nd